VASP calculation (GGA-PBEsol) on a relaxed structure of Li3Ir2.

Its density of states at the Fermi level is 0.742 states/eV/atom. The energy relative to the elements comes out at -71 kJ/mol of formula units. For the volume, the calculation gives 69 Å³/f.u.

It has space group R-3m (No. 166, hexagonal axes), with a = 2.6571 Å, b = 2.6571 Å, c = 33.7735 Å, α = 90.00°, β = 90.00° and γ = 120.00°. The distinct sites, in fractional coordinates, are Li at (0.0000, 0.0000, 0.0000), Li at (0.0000, 0.0000, 0.2067) and Ir at (0.0000, 0.0000, 0.3979).